# 1
YLuCoSi: optimized geometry, PBE.

Values from the calculation:
Space-group type ... F-43m, No. 216
DFT total energy ... -5.859 eV/atom

Lattice parameters (Å, degrees): 4.6815 4.6815 4.6815 60.00 60.00 60.00
Fractional positions:
Co1 0.7500 0.7500 0.7500
Lu1 0.5000 0.5000 0.5000
Si1 0.0000 0.0000 0.0000
Y1 0.2500 0.2500 0.2500

# 2
PtS2Cl8: optimized geometry, PBE.

Values from the calculation:
Space-group type ... P2_1/c, No. 14
DFT total energy ... -2.938 eV/atom

Lattice parameters (Å, degrees): 6.3264 7.2060 12.4241 90.00 99.72 90.00
Fractional positions:
Cl1 0.7809 0.5879 0.0901
Cl2 0.2571 0.8401 0.1236
Cl3 0.8357 0.1039 0.1445
Cl4 0.3048 0.3376 0.1621
Cl5 0.6952 0.8376 0.3379
Cl6 0.1643 0.6039 0.3555
Cl7 0.7429 0.3401 0.3764
Cl8 0.2191 0.0879 0.4099
Cl9 0.7809 0.9121 0.5901
Cl10 0.2571 0.6599 0.6236
Cl11 0.8357 0.3961 0.6445
Cl12 0.3048 0.1624 0.6621
Cl13 0.6952 0.6624 0.8379
Cl14 0.1643 0.8961 0.8555
Cl15 0.7429 0.1599 0.8764
Cl16 0.2191 0.4121 0.9099
Pt1 0.0000 0.0000 0.0000
Pt2 0.0000 0.5000 0.5000
S1 0.2974 0.2057 0.0189
S2 0.7026 0.7057 0.4811
S3 0.2974 0.2943 0.5189
S4 0.7026 0.7943 0.9811

# 3
Li2Tb: optimized geometry, PBE.

Values from the calculation:
Space-group type ... Fd-3m, No. 227
DFT total energy ... -2.696 eV/atom

Lattice parameters (Å, degrees): 5.7292 5.7292 5.7292 60.00 60.00 60.00
Fractional positions:
Li1 0.6250 0.6250 0.1250
Li2 0.6250 0.1250 0.6250
Li3 0.1250 0.6250 0.6250
Li4 0.6250 0.6250 0.6250
Tb1 0.0000 0.0000 0.0000
Tb2 0.2500 0.2500 0.2500

# 4
BaPrRe: optimized geometry, PBE.

Values from the calculation:
Space-group type ... F-43m, No. 216
DFT total energy ... -4.923 eV/atom

Lattice parameters (Å, degrees): 5.0983 5.0983 5.0983 60.00 60.00 60.00
Last column: magnetic moment on the atom in μB.
Fractional positions:
Ba1 0.2500 0.2500 0.2500  -0.07
Pr1 0.0000 0.0000 0.0000  -0.14
Re1 0.7500 0.7500 0.7500  0.56

# 5
ErNi2Ge: optimized geometry, PBE.

Values from the calculation:
Space-group type ... P2_1/m, No. 11
DFT total energy ... -5.661 eV/atom

Lattice parameters (Å, degrees): 5.0857 4.0961 6.5312 90.00 106.03 90.00
Fractional positions:
Er1 0.7620 0.2500 0.2561
Er2 0.2380 0.7500 0.7439
Ge1 0.2631 0.7500 0.2424
Ge2 0.7369 0.2500 0.7576
Ni1 0.1594 0.2500 0.0434
Ni2 0.3463 0.2500 0.4507
Ni3 0.6537 0.7500 0.5493
Ni4 0.8406 0.7500 0.9566

# 6
SiNiP: optimized geometry, PBE.

Values from the calculation:
Space-group type ... P4_2/mmc, No. 131
DFT total energy ... -5.638 eV/atom

Lattice parameters (Å, degrees): 3.8799 3.8799 5.4737 90.00 90.00 90.00
Fractional positions:
Ni1 0.0000 0.5000 0.0000
Ni2 0.5000 0.0000 0.5000
P1 0.0000 0.0000 0.2500
P2 0.0000 0.0000 0.7500
Si1 0.5000 0.5000 0.2500
Si2 0.5000 0.5000 0.7500

# 7
LiScZnSi: optimized geometry, PBE.

Values from the calculation:
Space-group type ... F-43m, No. 216
DFT total energy ... -3.919 eV/atom

Lattice parameters (Å, degrees): 4.4258 4.4258 4.4258 60.00 60.00 60.00
Fractional positions:
Li1 0.7500 0.7500 0.7500
Sc1 0.0000 0.0000 0.0000
Si1 0.2500 0.2500 0.2500
Zn1 0.5000 0.5000 0.5000

# 8
PmSbIr: optimized geometry, PBE.

Values from the calculation:
Space-group type ... Pnma, No. 62
DFT total energy ... -6.785 eV/atom

Lattice parameters (Å, degrees): 7.3513 4.5818 7.9723 90.00 90.00 90.00
Fractional positions:
Ir1 0.7959 0.7500 0.0896
Ir2 0.2959 0.7500 0.4104
Ir3 0.7041 0.2500 0.5896
Ir4 0.2041 0.2500 0.9104
Pm1 0.4865 0.2500 0.1926
Pm2 0.9865 0.2500 0.3074
Pm3 0.0135 0.7500 0.6926
Pm4 0.5135 0.7500 0.8074
Sb1 0.1772 0.7500 0.0869
Sb2 0.6772 0.7500 0.4131
Sb3 0.3228 0.2500 0.5869
Sb4 0.8228 0.2500 0.9131

# 9
HfTlS2: optimized geometry, PBE.

Values from the calculation:
Space-group type ... P-3m1, No. 164
DFT total energy ... -6.334 eV/atom

Lattice parameters (Å, degrees): 3.5916 3.5916 8.5293 90.00 90.00 120.00
Fractional positions:
Hf1 0.0000 0.0000 0.5000
S1 0.6667 0.3333 0.3244
S2 0.3333 0.6667 0.6756
Tl1 0.0000 0.0000 0.0000

# 10
Nd5Ni19: optimized geometry, PBE.

Values from the calculation:
Space-group type ... R-3m, No. 166
DFT total energy ... -5.704 eV/atom

Lattice parameters (Å, degrees): 4.9846 4.9846 16.4300 98.72 81.28 120.00
Last column: magnetic moment on the atom in μB.
Fractional positions:
Nd1 0.0000 0.0000 0.0000  -0.05
Nd2 0.9217 0.0783 0.2348  -0.04
Nd3 0.8484 0.1516 0.4547  -0.03
Nd4 0.1516 0.8484 0.5453  -0.03
Nd5 0.0783 0.9217 0.7652  -0.04
Ni1 0.3332 0.6668 0.0004  0.26
Ni2 0.4587 0.0394 0.1219  0.35
Ni3 0.4587 0.5413 0.1219  0.33
Ni4 0.9606 0.5413 0.1219  0.31
Ni5 0.5849 0.4151 0.2452  0.20
Ni6 0.2513 0.7487 0.2462  0.20
Ni7 0.3775 0.1231 0.3681  0.13
Ni8 0.3775 0.6225 0.3681  0.12
Ni9 0.8769 0.6225 0.3681  0.12
Ni10 0.5000 0.5000 0.5000  0.05
Ni11 0.1231 0.3775 0.6319  0.12
Ni12 0.6225 0.3775 0.6319  0.12
Ni13 0.6225 0.8769 0.6319  0.13
Ni14 0.7487 0.2513 0.7538  0.20
Ni15 0.4151 0.5849 0.7548  0.20
Ni16 0.0394 0.4587 0.8781  0.31
Ni17 0.5413 0.4587 0.8781  0.33
Ni18 0.5413 0.9606 0.8781  0.35
Ni19 0.6668 0.3332 0.9996  0.26

# 11
NaSrTaPt: optimized geometry, PBE.

Values from the calculation:
Space-group type ... F-43m, No. 216
DFT total energy ... -4.317 eV/atom

Lattice parameters (Å, degrees): 5.1401 5.1401 5.1401 60.00 60.00 60.00
Fractional positions:
Na1 0.7500 0.7500 0.7500
Pt1 0.0000 0.0000 0.0000
Sr1 0.2500 0.2500 0.2500
Ta1 0.5000 0.5000 0.5000

# 12
NiSb4Os: optimized geometry, PBE.

Values from the calculation:
Space-group type ... P2/m, No. 10
DFT total energy ... -5.621 eV/atom

Lattice parameters (Å, degrees): 5.8363 3.3867 6.6116 90.00 90.17 90.00
Last column: magnetic moment on the atom in μB.
Fractional positions:
Ni1 0.5000 0.0000 0.0000  0.02
Os1 0.0000 0.5000 0.5000  0.14
Sb1 0.8030 0.5000 0.1376  0.00
Sb2 0.3142 0.0000 0.3542  0.01
Sb3 0.6858 0.0000 0.6458  0.01
Sb4 0.1970 0.5000 0.8624  0.00